Compound: CdRh2W
Source: the Alexandria database
Functional: GGA-PBE
Structure: optimized geometry

Structure (CIF):
```
data_CdRh2W
_chemical_formula_sum 'Cd3 Rh6 W3'
_space_group_name_H-M_alt 'R -3 m'
_space_group_IT_number 166
_space_group_name_Hall '-R 3 2"'
_cell_length_a 2.8593
_cell_length_b 2.8593
_cell_length_c 27.1726
_cell_angle_alpha 90.00
_cell_angle_beta 90.00
_cell_angle_gamma 120.00
loop_
_atom_site_label
_atom_site_type_symbol
_atom_site_fract_x
_atom_site_fract_y
_atom_site_fract_z
Cd1 Cd 0.0000 0.0000 0.0000
Rh1 Rh 0.0000 0.0000 0.2440
W1 W 0.0000 0.0000 0.5000
```

- ΔE to the lowest computed polymorph (meV per atom) = 115.4

---

Compound: CdRh2W
Source: the Alexandria database
Functional: GGA-PBE
Structure: optimized geometry

Structure (CIF):
```
data_CdRh2W
_chemical_formula_sum 'Cd2 Rh4 W2'
_space_group_name_H-M_alt 'C 1 2/m 1'
_space_group_IT_number 12
_space_group_name_Hall '-C 2y'
_cell_length_a 9.023
_cell_length_b 2.796
_cell_length_c 5.140
_cell_angle_alpha 90.00
_cell_angle_beta 98.96
_cell_angle_gamma 90.00
loop_
_atom_site_label
_atom_site_type_symbol
_atom_site_fract_x
_atom_site_fract_y
_atom_site_fract_z
Cd1 Cd 0.000 0.000 0.000
Rh1 Rh 0.246 0.000 0.727
W1 W 0.000 0.500 0.500
```

- ΔE to the lowest computed polymorph (meV per atom) = 331.6

---

Compound: Cd2RhW
Source: the Alexandria database
Functional: GGA-PBE
Structure: optimized geometry

Structure (CIF):
```
data_Cd2RhW
_chemical_formula_sum 'Cd4 Rh2 W2'
_space_group_name_H-M_alt 'I m m 2'
_space_group_IT_number 44
_space_group_name_Hall 'I 2 -2'
_cell_length_a 2.856
_cell_length_b 4.971
_cell_length_c 10.259
_cell_angle_alpha 90.00
_cell_angle_beta 90.00
_cell_angle_gamma 90.00
loop_
_atom_site_label
_atom_site_type_symbol
_atom_site_fract_x
_atom_site_fract_y
_atom_site_fract_z
Cd1 Cd 0.000 0.000 0.000
Cd2 Cd 0.000 0.500 0.218
Rh1 Rh 0.000 0.000 0.469
W1 W 0.000 0.500 0.762
```

- ΔE to the lowest computed polymorph (meV per atom) = 288.6

---

Compound: CdRh2W
Source: the Alexandria database
Functional: GGA-PBE
Structure: optimized geometry

Structure (CIF):
```
data_CdRh2W
_chemical_formula_sum 'Cd1 Rh2 W1'
_space_group_name_H-M_alt 'P 4/m m m'
_space_group_IT_number 123
_space_group_name_Hall '-P 4 2'
_cell_length_a 2.867
_cell_length_b 2.867
_cell_length_c 7.735
_cell_angle_alpha 90.00
_cell_angle_beta 90.00
_cell_angle_gamma 90.00
loop_
_atom_site_label
_atom_site_type_symbol
_atom_site_fract_x
_atom_site_fract_y
_atom_site_fract_z
Cd1 Cd 0.000 0.000 0.000
Rh1 Rh 0.500 0.500 0.269
W1 W 0.000 0.000 0.500
```

- ΔE to the lowest computed polymorph (meV per atom) = 0.0

---

Compound: Cd2RhW
Source: the Alexandria database
Functional: GGA-PBE
Structure: optimized geometry

Structure (CIF):
```
data_Cd2RhW
_chemical_formula_sum 'Cd6 Rh3 W3'
_space_group_name_H-M_alt 'R -3 m'
_space_group_IT_number 166
_space_group_name_Hall '-R 3 2"'
_cell_length_a 2.9204
_cell_length_b 2.9204
_cell_length_c 28.3221
_cell_angle_alpha 90.00
_cell_angle_beta 90.00
_cell_angle_gamma 120.00
loop_
_atom_site_label
_atom_site_type_symbol
_atom_site_fract_x
_atom_site_fract_y
_atom_site_fract_z
Cd1 Cd 0.0000 0.0000 0.2465
Rh1 Rh 0.0000 0.0000 0.5000
W1 W 0.0000 0.0000 0.0000
```

- ΔE to the lowest computed polymorph (meV per atom) = 321.7

---

Compound: CdRhW3
Source: the Alexandria database
Functional: GGA-PBE
Structure: optimized geometry

Structure (CIF):
```
data_CdRhW3
_chemical_formula_sum 'Cd1 Rh1 W3'
_space_group_name_H-M_alt 'P m -3 m'
_space_group_IT_number 221
_space_group_name_Hall '-P 4 2 3'
_cell_length_a 4.731
_cell_length_b 4.731
_cell_length_c 4.731
_cell_angle_alpha 90.00
_cell_angle_beta 90.00
_cell_angle_gamma 90.00
loop_
_atom_site_label
_atom_site_type_symbol
_atom_site_fract_x
_atom_site_fract_y
_atom_site_fract_z
Cd1 Cd 0.000 0.000 0.000
Rh1 Rh 0.500 0.500 0.500
W1 W 0.000 0.500 0.500
```

- ΔE to the lowest computed polymorph (meV per atom) = 0.0

---

Compound: CdRh2W
Source: the Alexandria database
Functional: GGA-PBE
Structure: optimized geometry

Structure (CIF):
```
data_CdRh2W
_chemical_formula_sum 'Cd2 Rh4 W2'
_space_group_name_H-M_alt 'C m m 2'
_space_group_IT_number 35
_space_group_name_Hall 'C 2 -2'
_cell_length_a 2.990
_cell_length_b 4.634
_cell_length_c 9.347
_cell_angle_alpha 90.00
_cell_angle_beta 90.00
_cell_angle_gamma 90.00
loop_
_atom_site_label
_atom_site_type_symbol
_atom_site_fract_x
_atom_site_fract_y
_atom_site_fract_z
Cd1 Cd 0.000 0.000 0.000
Rh1 Rh 0.000 0.000 0.493
Rh2 Rh 0.000 0.500 0.249
W1 W 0.000 0.500 0.722
```

- ΔE to the lowest computed polymorph (meV per atom) = 474.2

---

Compound: Cd2RhW
Source: the Alexandria database
Functional: GGA-PBE
Structure: optimized geometry

Structure (CIF):
```
data_Cd2RhW
_chemical_formula_sum 'Cd2 Rh1 W1'
_space_group_name_H-M_alt 'P m m m'
_space_group_IT_number 47
_space_group_name_Hall '-P 2 2'
_cell_length_a 2.849
_cell_length_b 4.443
_cell_length_c 5.519
_cell_angle_alpha 90.00
_cell_angle_beta 90.00
_cell_angle_gamma 90.00
loop_
_atom_site_label
_atom_site_type_symbol
_atom_site_fract_x
_atom_site_fract_y
_atom_site_fract_z
Cd1 Cd 0.000 0.000 0.246
Rh1 Rh 0.500 0.500 0.000
W1 W 0.500 0.500 0.500
```

- ΔE to the lowest computed polymorph (meV per atom) = 395.3

---

Compound: Cd2RhW
Source: the Alexandria database
Functional: GGA-PBE
Structure: optimized geometry

Structure (CIF):
```
data_Cd2RhW
_chemical_formula_sum 'Cd2 Rh1 W1'
_space_group_name_H-M_alt 'P 4/m m m'
_space_group_IT_number 123
_space_group_name_Hall '-P 4 2'
_cell_length_a 2.832
_cell_length_b 2.832
_cell_length_c 8.653
_cell_angle_alpha 90.00
_cell_angle_beta 90.00
_cell_angle_gamma 90.00
loop_
_atom_site_label
_atom_site_type_symbol
_atom_site_fract_x
_atom_site_fract_y
_atom_site_fract_z
Cd1 Cd 0.000 0.000 0.236
Rh1 Rh 0.500 0.500 0.000
W1 W 0.500 0.500 0.500
```

- ΔE to the lowest computed polymorph (meV per atom) = 319.6

---

Compound: CdRh2W
Source: the Alexandria database
Functional: GGA-PBE
Structure: optimized geometry

Structure (CIF):
```
data_CdRh2W
_chemical_formula_sum 'Cd1 Rh2 W1'
_space_group_name_H-M_alt 'P 4/m m m'
_space_group_IT_number 123
_space_group_name_Hall '-P 4 2'
_cell_length_a 4.728
_cell_length_b 4.728
_cell_length_c 2.859
_cell_angle_alpha 90.00
_cell_angle_beta 90.00
_cell_angle_gamma 90.00
loop_
_atom_site_label
_atom_site_type_symbol
_atom_site_fract_x
_atom_site_fract_y
_atom_site_fract_z
Cd1 Cd 0.000 0.000 0.000
Rh1 Rh 0.000 0.500 0.500
W1 W 0.500 0.500 0.000
```

- ΔE to the lowest computed polymorph (meV per atom) = 326.6

---

Compound: CdRh2W
Source: the Alexandria database
Functional: GGA-PBE
Structure: optimized geometry

Structure (CIF):
```
data_CdRh2W
_chemical_formula_sum 'Cd2 Rh4 W2'
_space_group_name_H-M_alt 'I 4/m m m'
_space_group_IT_number 139
_space_group_name_Hall '-I 4 2'
_cell_length_a 4.095
_cell_length_b 4.095
_cell_length_c 7.476
_cell_angle_alpha 90.00
_cell_angle_beta 90.00
_cell_angle_gamma 90.00
loop_
_atom_site_label
_atom_site_type_symbol
_atom_site_fract_x
_atom_site_fract_y
_atom_site_fract_z
Cd1 Cd 0.000 0.000 0.000
Rh1 Rh 0.000 0.500 0.250
W1 W 0.000 0.000 0.500
```

- ΔE to the lowest computed polymorph (meV per atom) = 241.6

---

Compound: Cd3RhW
Source: the Alexandria database
Functional: GGA-PBE
Structure: optimized geometry

Structure (CIF):
```
data_Cd3RhW
_chemical_formula_sum 'Cd3 Rh1 W1'
_space_group_name_H-M_alt 'P m -3 m'
_space_group_IT_number 221
_space_group_name_Hall '-P 4 2 3'
_cell_length_a 4.964
_cell_length_b 4.964
_cell_length_c 4.964
_cell_angle_alpha 90.00
_cell_angle_beta 90.00
_cell_angle_gamma 90.00
loop_
_atom_site_label
_atom_site_type_symbol
_atom_site_fract_x
_atom_site_fract_y
_atom_site_fract_z
Cd1 Cd 0.000 0.000 0.500
Rh1 Rh 0.000 0.000 0.000
W1 W 0.500 0.500 0.500
```

- ΔE to the lowest computed polymorph (meV per atom) = 0.0

---

The highest ΔE to the lowest computed polymorph belongs to which entry? number 7